# PBE-GGA PrUSe2N, relaxed
# Volume: 239 Å³ per cell
# E_form (uncorrected): -1.5807 eV per atom
data_PrUSe2N
_symmetry_space_group_name_H-M 'P 1'
_symmetry_Int_Tables_number 1
_cell_length_a 3.9684
_cell_length_b 3.9684
_cell_length_c 15.1871
_cell_angle_alpha 90.00
_cell_angle_beta 90.00
_cell_angle_gamma 90.00
loop_
_symmetry_equiv_pos_as_xyz
'x,y,z'
loop_
_atom_site_label
_atom_site_fract_x
_atom_site_fract_y
_atom_site_fract_z
U1 0.5000 0.0000 0.5739
U2 0.0000 0.5000 0.4261
Se1 0.0000 0.5000 0.6777
Se2 0.5000 0.0000 0.9161
Se3 0.0000 0.5000 0.0839
Se4 0.5000 0.0000 0.3223
N1 0.5000 0.5000 0.5000
N2 0.0000 0.0000 0.5000
Pr1 0.5000 0.0000 0.1334
Pr2 0.0000 0.5000 0.8666

# PBE-GGA Pb4Cl5, relaxed
# E above lowest polymorph: 0 meV per atom
# Volume: 257 Å³ per cell
# E_form (uncorrected): -0.6713 eV per atom
data_Pb4Cl5
_symmetry_space_group_name_H-M 'P 1'
_symmetry_Int_Tables_number 1
_cell_length_a 7.2385
_cell_length_b 7.2385
_cell_length_c 7.2385
_cell_angle_alpha 99.49
_cell_angle_beta 99.49
_cell_angle_gamma 132.10
loop_
_symmetry_equiv_pos_as_xyz
'x,y,z'
loop_
_atom_site_label
_atom_site_fract_x
_atom_site_fract_y
_atom_site_fract_z
Pb1 0.6866 0.0000 0.6866
Pb2 0.0000 0.3134 0.3134
Pb3 0.3134 0.0000 0.3134
Pb4 0.0000 0.6866 0.6866
Cl1 0.6876 0.3124 0.0000
Cl2 0.6876 0.6876 0.3752
Cl3 0.3124 0.3124 0.6248
Cl4 0.0000 0.0000 0.0000
Cl5 0.3124 0.6876 0.0000

# PBE-GGA Er2Tl2PtO6, relaxed
# Volume: 190 Å³ per cell
# E_form (uncorrected): -1.8645 eV per atom
data_Er2Tl2PtO6
_symmetry_space_group_name_H-M 'P 1'
_symmetry_Int_Tables_number 1
_cell_length_a 5.7699
_cell_length_b 5.7699
_cell_length_c 6.8066
_cell_angle_alpha 97.40
_cell_angle_beta 97.40
_cell_angle_gamma 120.00
loop_
_symmetry_equiv_pos_as_xyz
'x,y,z'
loop_
_atom_site_label
_atom_site_fract_x
_atom_site_fract_y
_atom_site_fract_z
Tl1 0.1635 0.8365 0.0000
Tl2 0.8365 0.1635 0.0000
O1 0.7442 0.7442 0.6698
O2 0.9531 0.6386 0.3371
O3 0.2558 0.2558 0.3302
O4 0.0469 0.3614 0.6629
O5 0.3614 0.0469 0.6629
O6 0.6386 0.9531 0.3371
Er1 0.3347 0.6653 0.5000
Er2 0.6653 0.3347 0.5000
Pt1 0.0000 0.0000 0.5000

# PBE-GGA Nd4Sm5Tl, relaxed
# E above lowest polymorph: 0 meV per atom
# ΔE_f: 2 kJ/mol of atoms
# Volume: 331 Å³ per cell
data_Nd4Sm5Tl
_symmetry_space_group_name_H-M 'P 1'
_symmetry_Int_Tables_number 1
_cell_length_a 4.2518
_cell_length_b 4.2518
_cell_length_c 18.3090
_cell_angle_alpha 90.00
_cell_angle_beta 90.00
_cell_angle_gamma 90.00
loop_
_symmetry_equiv_pos_as_xyz
'x,y,z'
loop_
_atom_site_label
_atom_site_fract_x
_atom_site_fract_y
_atom_site_fract_z
Tl1 0.0000 0.0000 0.0000
Nd1 0.0000 0.0000 0.3985
Nd2 0.0000 0.0000 0.1971
Nd3 0.0000 0.0000 0.8029
Nd4 0.0000 0.0000 0.6015
Sm1 0.5000 0.5000 0.7072
Sm2 0.5000 0.5000 0.2928
Sm3 0.5000 0.5000 0.5000
Sm4 0.5000 0.5000 0.9119
Sm5 0.5000 0.5000 0.0881

# PBE-GGA CaPuRh2, relaxed
# ΔE_f: -42 kJ/mol of atoms
# Volume: 81 Å³ per cell
data_CaPuRh2
_symmetry_space_group_name_H-M 'P 1'
_symmetry_Int_Tables_number 1
_cell_length_a 3.3274
_cell_length_b 3.3274
_cell_length_c 7.3392
_cell_angle_alpha 90.00
_cell_angle_beta 90.00
_cell_angle_gamma 90.00
loop_
_symmetry_equiv_pos_as_xyz
'x,y,z'
loop_
_atom_site_label
_atom_site_fract_x
_atom_site_fract_y
_atom_site_fract_z
Pu1 0.5000 0.5000 0.5000
Ca1 0.5000 0.5000 0.0000
Rh1 0.0000 0.0000 0.2736
Rh2 0.0000 0.0000 0.7264

# PBE-GGA Mo2RuBr, relaxed
# E above lowest polymorph: 221 meV per atom
# Volume: 68 Å³ per cell
# E_form (uncorrected): 0.6312 eV per atom
data_Mo2RuBr
_symmetry_space_group_name_H-M 'P 1'
_symmetry_Int_Tables_number 1
_cell_length_a 2.9174
_cell_length_b 2.9174
_cell_length_c 8.7558
_cell_angle_alpha 90.00
_cell_angle_beta 90.00
_cell_angle_gamma 114.06
loop_
_symmetry_equiv_pos_as_xyz
'x,y,z'
loop_
_atom_site_label
_atom_site_fract_x
_atom_site_fract_y
_atom_site_fract_z
Mo1 0.5000 0.5000 0.2517
Mo2 0.0000 0.0000 0.0152
Br1 0.5000 0.5000 0.7540
Ru1 0.0000 0.0000 0.4790

# PBE-GGA BaY2GeSe, relaxed
# Volume: 187 Å³ per cell
# E_form (uncorrected): -0.3786 eV per atom
data_BaY2GeSe
_symmetry_space_group_name_H-M 'P 1'
_symmetry_Int_Tables_number 1
_cell_length_a 5.4013
_cell_length_b 6.4147
_cell_length_c 5.4013
_cell_angle_alpha 90.00
_cell_angle_beta 90.00
_cell_angle_gamma 90.00
loop_
_symmetry_equiv_pos_as_xyz
'x,y,z'
loop_
_atom_site_label
_atom_site_fract_x
_atom_site_fract_y
_atom_site_fract_z
Y1 0.0000 0.0000 0.5000
Y2 0.5000 0.0000 0.0000
Ge1 0.0000 0.0000 0.0000
Se1 0.5000 0.5000 0.5000
Ba1 0.0000 0.5000 0.0000

# PBE-GGA Ac4LaPr3Te8, relaxed
# Volume: 565 Å³ per cell
# E_form (uncorrected): -1.4821 eV per atom
data_Ac4LaPr3Te8
_symmetry_space_group_name_H-M 'P 1'
_symmetry_Int_Tables_number 1
_cell_length_a 9.2766
_cell_length_b 9.2839
_cell_length_c 9.2762
_cell_angle_alpha 119.97
_cell_angle_beta 120.00
_cell_angle_gamma 90.00
loop_
_symmetry_equiv_pos_as_xyz
'x,y,z'
loop_
_atom_site_label
_atom_site_fract_x
_atom_site_fract_y
_atom_site_fract_z
Te1 0.7532 0.2611 0.0079
Te2 0.7461 0.7384 0.4923
Te3 0.2467 0.7389 0.4934
Te4 0.2468 0.7389 0.9921
Te5 0.2539 0.2616 0.5077
Te6 0.7533 0.2611 0.5066
Te7 0.2546 0.2611 0.0079
Te8 0.7454 0.7389 0.9921
Pr1 0.0000 0.5000 0.5000
Pr2 0.5000 0.5000 0.0000
Pr3 0.5000 0.5000 0.5000
Ac1 0.0000 0.0000 0.5000
Ac2 0.5000 0.0000 0.5000
Ac3 0.5000 0.0000 0.0000
Ac4 0.0000 0.0000 0.0000
La1 0.0000 0.5000 0.0000

# PBE-GGA Ce2AlCu, relaxed
# ΔE_f: -18 kJ/mol of atoms
# Volume: 86 Å³ per cell
data_Ce2AlCu
_symmetry_space_group_name_H-M 'P 1'
_symmetry_Int_Tables_number 1
_cell_length_a 3.1323
_cell_length_b 3.1323
_cell_length_c 8.7217
_cell_angle_alpha 90.00
_cell_angle_beta 90.00
_cell_angle_gamma 90.00
loop_
_symmetry_equiv_pos_as_xyz
'x,y,z'
loop_
_atom_site_label
_atom_site_fract_x
_atom_site_fract_y
_atom_site_fract_z
Al1 0.5000 0.5000 0.5000
Cu1 0.5000 0.5000 0.0000
Ce1 0.0000 0.0000 0.2384
Ce2 0.0000 0.0000 0.7616

# PBE-GGA ScTl2CuTe, relaxed
# Volume: 181 Å³ per cell
# E_form (uncorrected): 0.6160 eV per atom
data_ScTl2CuTe
_symmetry_space_group_name_H-M 'P 1'
_symmetry_Int_Tables_number 1
_cell_length_a 6.2749
_cell_length_b 4.6071
_cell_length_c 6.2749
_cell_angle_alpha 90.00
_cell_angle_beta 90.00
_cell_angle_gamma 90.00
loop_
_symmetry_equiv_pos_as_xyz
'x,y,z'
loop_
_atom_site_label
_atom_site_fract_x
_atom_site_fract_y
_atom_site_fract_z
Tl1 0.5000 0.0000 0.0000
Tl2 0.0000 0.0000 0.5000
Cu1 0.0000 0.5000 0.0000
Sc1 0.5000 0.5000 0.5000
Te1 0.0000 0.0000 0.0000

# PBE-GGA LaSc3Te, relaxed
# E above lowest polymorph: 0 meV per atom
# Volume: 158 Å³ per cell
# E_form (uncorrected): -0.0202 eV per atom
data_LaSc3Te
_symmetry_space_group_name_H-M 'P 1'
_symmetry_Int_Tables_number 1
_cell_length_a 5.4116
_cell_length_b 5.4116
_cell_length_c 5.4116
_cell_angle_alpha 90.00
_cell_angle_beta 90.00
_cell_angle_gamma 90.00
loop_
_symmetry_equiv_pos_as_xyz
'x,y,z'
loop_
_atom_site_label
_atom_site_fract_x
_atom_site_fract_y
_atom_site_fract_z
Sc1 0.5000 0.0000 0.0000
Sc2 0.0000 0.5000 0.0000
Sc3 0.0000 0.0000 0.5000
Te1 0.0000 0.0000 0.0000
La1 0.5000 0.5000 0.5000

# PBE-GGA La2AgGe, relaxed
# ΔE_f: -23 kJ/mol of atoms
# Volume: 251 Å³ per cell
data_La2AgGe
_symmetry_space_group_name_H-M 'P 1'
_symmetry_Int_Tables_number 1
_cell_length_a 8.1269
_cell_length_b 8.1269
_cell_length_c 6.8907
_cell_angle_alpha 53.86
_cell_angle_beta 53.86
_cell_angle_gamma 90.00
loop_
_symmetry_equiv_pos_as_xyz
'x,y,z'
loop_
_atom_site_label
_atom_site_fract_x
_atom_site_fract_y
_atom_site_fract_z
La1 0.6101 0.1250 0.2500
La2 0.3750 0.3899 0.7500
La3 0.8750 0.8601 0.7500
La4 0.1399 0.6250 0.2500
Ag1 0.0000 0.0000 0.0000
Ag2 0.7500 0.2500 0.5000
Ge1 0.5000 0.5000 0.0000
Ge2 0.2500 0.7500 0.5000